[1]
First-principles (PBE) data for crystalline Pr4Dy7Tm at its relaxed geometry, as listed in Alexandria.

Summary:
DFT formation energy: 282 meV per atom
space group: C2/m (12)

abc: 6.7034 6.7034 12.8887
angles: 113.71 113.71 52.45
Last column: nearest neighbours and their distance in Å.
Atoms (fractional coordinates):
1 Pr 0.0888 0.0888 0.2929  4 Dy 3.27-3.63
2 Pr 0.3656 0.3656 0.2243  7 Dy 3.39-3.69
3 Pr 0.6344 0.6344 0.7757  7 Dy 3.39-3.69
4 Pr 0.9112 0.9112 0.7071  4 Dy 3.27-3.63
5 Dy 0.0000 0.0000 0.0000  2 Tm 2.96, 2 Dy 3.15
6 Dy 0.1710 0.1710 0.6353  4 Dy 3.39-3.45, 3 Pr 3.60-3.63
7 Dy 0.2103 0.2103 0.9178  4 Dy 3.15-3.52, 1 Tm 3.15, 3 Pr 3.39-3.40
8 Dy 0.3673 0.3673 0.5116  2 Pr 3.27-3.48, 4 Dy 3.34-3.43
9 Dy 0.6327 0.6327 0.4884  2 Pr 3.27-3.48, 4 Dy 3.34-3.43
10 Dy 0.7897 0.7897 0.0822  4 Dy 3.15-3.52, 1 Tm 3.15, 3 Pr 3.39-3.40
11 Dy 0.8290 0.8290 0.3647  4 Dy 3.39-3.45, 3 Pr 3.60-3.63
12 Tm 0.5000 0.5000 0.0000  4 Dy 2.96-3.15



[2]
First-principles (PBE) data for crystalline MgNiSb2 at its relaxed geometry, as listed in Alexandria.

Summary:
raw formation energy: 5.0 kJ per mole of atoms
space group: R3m (160)

abc: 8.7287 8.7287 8.7287
angles: 22.91 22.91 22.91
Last column: nearest neighbours and their distance in Å.
Atoms (fractional coordinates):
1 Mg 0.0000 0.0000 0.0000  3 Ni 2.72
2 Ni 0.2614 0.2614 0.2614  3 Sb 2.50, 3 Mg 2.72
3 Sb 0.5356 0.5356 0.5356  3 Ni 2.50
4 Sb 0.7614 0.7614 0.7614  3 Mg 3.14, 9 Sb 3.39-3.47



[3]
First-principles (PBE) data for crystalline Pr2AgAs3Rh4 at its relaxed geometry, as listed in Alexandria.

Summary:
DFT formation energy: -769 meV per atom
space group: P-4m2 (115)

abc: 4.2146 4.2146 10.6563
angles: 90.00 90.00 90.00
Last column: nearest neighbours and their distance in Å.
Atoms (fractional coordinates):
1 Pr 0.0000 0.5000 0.2466  8 Rh 3.16-3.43, 6 As 3.26-3.37, 2 Ag 3.37
2 Pr 0.5000 0.0000 0.7534  8 Rh 3.16-3.43, 6 As 3.26-3.37, 2 Ag 3.37
3 Ag 0.5000 0.5000 0.0000  4 Rh 2.63
4 As 0.0000 0.0000 0.0000  4 Rh 2.63
5 As 0.0000 0.5000 0.6305  5 Rh 2.37-2.53
6 As 0.5000 0.0000 0.3695  5 Rh 2.37-2.53
7 Rh 0.0000 0.0000 0.5000  4 As 2.53
8 Rh 0.0000 0.5000 0.8530  3 As 2.37-2.63, 2 Ag 2.63
9 Rh 0.5000 0.0000 0.1470  3 As 2.37-2.63, 2 Ag 2.63
10 Rh 0.5000 0.5000 0.5000  4 As 2.53



[4]
First-principles (PBE) data for crystalline MgCd2Tc at its relaxed geometry, as listed in Alexandria.

Summary:
DFT formation energy: 188 meV per atom
space group: P4/mmm (123)

abc: 4.1821 4.1821 4.1905
angles: 90.00 90.00 90.00
Last column: nearest neighbours and their distance in Å.
Atoms (fractional coordinates):
1 Mg 0.0000 0.0000 0.0000  4 Tc 2.96, 8 Cd 2.96
2 Cd 0.0000 0.5000 0.5000  4 Cd 2.96, 4 Tc 2.96, 4 Mg 2.96
3 Cd 0.5000 0.0000 0.5000  4 Cd 2.96, 4 Tc 2.96, 4 Mg 2.96
4 Tc 0.5000 0.5000 0.0000  4 Mg 2.96, 8 Cd 2.96



[5]
First-principles (PBE) data for crystalline Ce2NdCdN at its relaxed geometry, as listed in Alexandria.

Summary:
raw formation energy: -64.4 kJ per mole of atoms
space group: P4/mmm (123)

abc: 4.8828 4.8828 5.1155
angles: 90.00 90.00 90.00
Last column: nearest neighbours and their distance in Å.
Atoms (fractional coordinates):
1 Ce 0.0000 0.5000 0.0000  2 N 2.44
2 Ce 0.5000 0.0000 0.0000  2 N 2.44
3 Nd 0.0000 0.0000 0.5000  2 N 2.56
4 Cd 0.5000 0.5000 0.5000  4 Nd 3.45, 8 Ce 3.54
5 N 0.0000 0.0000 0.0000  4 Ce 2.44, 2 Nd 2.56



[6]
First-principles (PBE) data for crystalline AgSnF2 at its relaxed geometry, as listed in Alexandria.

Summary:
raw formation energy: -114.8 kJ per mole of atoms
space group: I-42d (122)

abc: 8.3405 8.3405 8.3405
angles: 150.44 150.44 42.29
Last column: nearest neighbours and their distance in Å.
Atoms (fractional coordinates):
1 Ag 0.0000 0.0000 0.0000  4 F 2.51
2 Ag 0.7500 0.2500 0.5000  4 F 2.51
3 Sn 0.2500 0.7500 0.5000  4 F 2.41
4 Sn 0.5000 0.5000 0.0000  4 F 2.41
5 F 0.1524 0.6250 0.0274  2 Sn 2.41, 2 Ag 2.51
6 F 0.3750 0.4024 0.5274  2 Sn 2.41, 2 Ag 2.51
7 F 0.5976 0.1250 0.9726  2 Sn 2.41, 2 Ag 2.51
8 F 0.8750 0.8476 0.4726  2 Sn 2.41, 2 Ag 2.51



[7]
First-principles (PBE) data for crystalline AcPtCl6 at its relaxed geometry, as listed in Alexandria.

Summary:
raw formation energy: -123.9 kJ per mole of atoms
space group: P-1 (2)

abc: 6.3549 6.5166 7.0127
angles: 90.26 116.01 115.49
Last column: nearest neighbours and their distance in Å.
Atoms (fractional coordinates):
1 Ac 0.0000 0.0000 0.0000  6 Cl 2.85-2.98
2 Pt 0.0000 0.5000 0.5000  4 Cl 2.35-2.36
3 Cl 0.1619 0.4500 0.2691  1 Pt 2.35
4 Cl 0.1830 0.2860 0.7219  1 Pt 2.36
5 Cl 0.4561 0.8898 0.7389  1 Pt 2.65, 1 Ac 2.85
6 Cl 0.5439 0.1102 0.2611  1 Pt 2.65, 1 Ac 2.85
7 Cl 0.8170 0.7140 0.2781  1 Pt 2.36
8 Cl 0.8381 0.5500 0.7309  1 Pt 2.35



[8]
First-principles (PBE) data for crystalline Ta2NiH2 at its relaxed geometry, as listed in Alexandria.

Summary:
DFT total energy: -7.3167 eV per atom
space group: P-1 (2)

abc: 5.0450 5.0468 5.0485
angles: 101.55 117.96 101.08
Last column: nearest neighbours and their distance in Å.
Atoms (fractional coordinates):
1 Ta 0.0908 0.2495 0.4079  4 H 1.96-2.05
2 Ta 0.2597 0.7496 0.2409  4 H 2.00-2.02
3 Ta 0.7403 0.2504 0.7591  4 H 2.00-2.02
4 Ta 0.9092 0.7505 0.5921  4 H 1.96-2.05
5 Ni 0.4044 0.2483 0.0966  4 H 2.20-2.31
6 Ni 0.5956 0.7517 0.9034  4 H 2.20-2.31
7 H 0.1259 0.5033 0.8019  4 Ta 1.96-2.05
8 H 0.3026 0.0045 0.6280  4 Ta 1.96-2.05, 1 Ni 2.20
9 H 0.6974 0.9955 0.3720  4 Ta 1.96-2.05, 1 Ni 2.20
10 H 0.8741 0.4967 0.1981  4 Ta 1.96-2.05



[9]
First-principles (PBE) data for crystalline MnHgTe2 at its relaxed geometry, as listed in Alexandria.

Summary:
raw formation energy: -1.2 kJ per mole of atoms
space group: P2/m (10)

abc: 5.6637 3.8377 5.8082
angles: 90.00 111.00 90.00
Last column: nearest neighbours and their distance in Å.
Atoms (fractional coordinates):
1 Mn 0.0000 0.0000 0.0000  4 Te 2.65, 2 Hg 2.90
2 Hg 0.0000 0.0000 0.5000  2 Mn 2.90
3 Te 0.3413 0.5000 0.1652  2 Mn 2.65
4 Te 0.6587 0.5000 0.8348  2 Mn 2.65



[10]
First-principles (PBE) data for crystalline Pm3Ni2Ag4 at its relaxed geometry, as listed in Alexandria.

Summary:
DFT formation energy: -240 meV per atom
space group: C2/m (12)

abc: 6.1302 6.1302 9.2416
angles: 115.77 115.77 39.86
Last column: nearest neighbours and their distance in Å.
Atoms (fractional coordinates):
1 Pm 0.0000 0.0000 0.0000  4 Ni 3.02, 6 Ag 3.17-3.19
2 Pm 0.3104 0.3104 0.3740  3 Ni 2.94-3.02, 6 Ag 3.17-3.21
3 Pm 0.6896 0.6896 0.6260  3 Ni 2.94-3.02, 6 Ag 3.17-3.21
4 Ni 0.3922 0.3922 0.7347  3 Ag 2.65, 2 Pm 2.94
5 Ni 0.6078 0.6078 0.2653  3 Ag 2.65, 2 Pm 2.94
6 Ag 0.0116 0.0116 0.3496  2 Ni 2.65, 1 Ag 2.91
7 Ag 0.2676 0.2676 0.9143  1 Ni 2.65, 2 Ag 2.76
8 Ag 0.7324 0.7324 0.0857  1 Ni 2.65, 2 Ag 2.76
9 Ag 0.9884 0.9884 0.6504  2 Ni 2.65, 1 Ag 2.91



[11]
First-principles (PBE) data for crystalline HfScMnSn2 at its relaxed geometry, as listed in Alexandria.

Summary:
DFT formation energy: 224 meV per atom
space group: P4/mmm (123)

abc: 4.9267 4.9267 4.7332
angles: 90.00 90.00 90.00
Last column: nearest neighbours and their distance in Å.
Atoms (fractional coordinates):
1 Hf 0.0000 0.0000 0.0000  2 Mn 2.37
2 Sc 0.5000 0.5000 0.0000  8 Sn 3.42, 4 Hf 3.48
3 Mn 0.0000 0.0000 0.5000  2 Hf 2.37, 4 Sn 2.46
4 Sn 0.0000 0.5000 0.5000  2 Mn 2.46
5 Sn 0.5000 0.0000 0.5000  2 Mn 2.46



[12]
First-principles (PBE) data for crystalline NaBi2Au at its relaxed geometry, as listed in Alexandria.

Summary:
DFT formation energy: -174 meV per atom
space group: P2_1/m (11)

abc: 4.4953 8.5450 6.2342
angles: 90.00 110.62 90.00
Last column: nearest neighbours and their distance in Å.
Atoms (fractional coordinates):
1 Na 0.0627 0.2500 0.1245  3 Au 3.32-3.38, 8 Bi 3.45-3.69
2 Na 0.9373 0.7500 0.8755  3 Au 3.32-3.38, 8 Bi 3.45-3.69
3 Bi 0.3634 0.0424 0.7315  3 Au 3.01-3.05, 1 Bi 3.22
4 Bi 0.3634 0.4576 0.7315  3 Au 3.01-3.05, 1 Bi 3.22
5 Bi 0.6366 0.5424 0.2685  3 Au 3.01-3.05, 1 Bi 3.22
6 Bi 0.6366 0.9576 0.2685  3 Au 3.01-3.05, 1 Bi 3.22
7 Au 0.2237 0.7500 0.4445  6 Bi 3.01-3.05, 2 Na 3.32-3.36
8 Au 0.7763 0.2500 0.5555  6 Bi 3.01-3.05, 2 Na 3.32-3.36



[13]
First-principles (PBE) data for crystalline YZrAl2Ir at its relaxed geometry, as listed in Alexandria.

Summary:
DFT formation energy: -16 meV per atom
space group: P4/mmm (123)

abc: 4.7396 4.7396 5.2620
angles: 90.00 90.00 90.00
Last column: nearest neighbours and their distance in Å.
Atoms (fractional coordinates):
1 Y 0.0000 0.0000 0.0000  2 Ir 2.63
2 Zr 0.5000 0.5000 0.0000  4 Y 3.35, 8 Al 3.54
3 Al 0.0000 0.5000 0.5000  2 Ir 2.37
4 Al 0.5000 0.0000 0.5000  2 Ir 2.37
5 Ir 0.0000 0.0000 0.5000  4 Al 2.37, 2 Y 2.63



[14]
First-principles (PBE) data for crystalline KPaCuSe4 at its relaxed geometry, as listed in Alexandria.

Summary:
raw formation energy: -101.4 kJ per mole of atoms
space group: P2_1/m (11)

abc: 7.0501 5.8167 9.4320
angles: 90.00 107.63 90.00
Last column: nearest neighbours and their distance in Å.
Atoms (fractional coordinates):
1 K 0.2490 0.2500 0.4476  6 Se 3.28-3.56
2 K 0.7510 0.7500 0.5524  6 Se 3.28-3.56
3 Pa 0.2294 0.2500 0.9417  6 Se 2.73-3.01
4 Pa 0.7706 0.7500 0.0583  6 Se 2.73-3.01
5 Cu 0.2396 0.7500 0.1711  4 Se 2.37-2.43
6 Cu 0.7604 0.2500 0.8289  4 Se 2.37-2.43
7 Se 0.0429 0.7500 0.3350  1 Cu 2.37
8 Se 0.0702 0.7500 0.9110  1 Cu 2.38
9 Se 0.4818 0.5102 0.7986  1 Cu 2.43
10 Se 0.4818 0.9898 0.7986  1 Cu 2.43
11 Se 0.5182 0.0102 0.2014  1 Cu 2.43
12 Se 0.5182 0.4898 0.2014  1 Cu 2.43
13 Se 0.9298 0.2500 0.0890  1 Cu 2.38
14 Se 0.9571 0.2500 0.6650  1 Cu 2.37



[15]
First-principles (PBE) data for crystalline Na3LiIr at its relaxed geometry, as listed in Alexandria.

Summary:
DFT formation energy: 672 meV per atom
space group: Pm-3m (221)

abc: 5.4612 5.4612 5.4612
angles: 90.00 90.00 90.00
Last column: nearest neighbours and their distance in Å.
Atoms (fractional coordinates):
1 Na 0.0000 0.0000 0.5000  2 Ir 2.73
2 Na 0.0000 0.5000 0.0000  2 Ir 2.73
3 Na 0.5000 0.0000 0.0000  2 Ir 2.73
4 Li 0.5000 0.5000 0.5000  12 Na 3.86
5 Ir 0.0000 0.0000 0.0000  6 Na 2.73



[16]
First-principles (PBE) data for crystalline Pm3Nd2YHo6 at its relaxed geometry, as listed in Alexandria.

Summary:
DFT formation energy: 15 meV per atom
space group: C2/m (12)

abc: 6.2198 6.2198 11.8270
angles: 95.01 95.01 119.98
Last column: nearest neighbours and their distance in Å.
Atoms (fractional coordinates):
1 Pm 0.0000 0.0000 0.0000  6 Ho 3.57, 6 Pm 3.59
2 Pm 0.3333 0.6667 0.0000  6 Ho 3.57, 6 Pm 3.59
3 Pm 0.6667 0.3333 0.0000  6 Ho 3.57, 6 Pm 3.59
4 Nd 0.1665 0.8335 0.5000  6 Ho 3.57-3.58, 3 Nd 3.59, 3 Y 3.59
5 Nd 0.8335 0.1665 0.5000  6 Ho 3.57-3.58, 3 Nd 3.59, 3 Y 3.59
6 Y 0.5000 0.5000 0.5000  6 Ho 3.58, 6 Nd 3.59
7 Ho 0.0827 0.4162 0.2499  2 Nd 3.57-3.58, 3 Pm 3.57, 1 Y 3.58, 6 Ho 3.59
8 Ho 0.2506 0.2506 0.7504  3 Pm 3.57, 1 Y 3.58, 2 Nd 3.58, 6 Ho 3.59
9 Ho 0.4162 0.0827 0.2499  2 Nd 3.57-3.58, 3 Pm 3.57, 1 Y 3.58, 6 Ho 3.59
10 Ho 0.5838 0.9173 0.7501  2 Nd 3.57-3.58, 3 Pm 3.57, 1 Y 3.58, 6 Ho 3.59
11 Ho 0.7494 0.7494 0.2496  3 Pm 3.57, 1 Y 3.58, 2 Nd 3.58, 6 Ho 3.59
12 Ho 0.9173 0.5838 0.7501  2 Nd 3.57-3.58, 3 Pm 3.57, 1 Y 3.58, 6 Ho 3.59



[17]
First-principles (PBE) data for crystalline LiY2TaC at its relaxed geometry, as listed in Alexandria.

Summary:
DFT formation energy: 558 meV per atom
space group: P4/mmm (123)

abc: 4.9815 4.9815 4.0629
angles: 90.00 90.00 90.00
Last column: nearest neighbours and their distance in Å.
Atoms (fractional coordinates):
1 Li 0.0000 0.0000 0.0000  2 C 2.03
2 Y 0.0000 0.5000 0.5000  2 C 2.49
3 Y 0.5000 0.0000 0.5000  2 C 2.49
4 Ta 0.5000 0.5000 0.0000  8 Y 3.21, 4 Li 3.52
5 C 0.0000 0.0000 0.5000  2 Li 2.03



[18]
First-principles (PBE) data for crystalline Cs3K3Rb4 at its relaxed geometry, as listed in Alexandria.

Summary:
DFT formation energy: 22 meV per atom
space group: Amm2 (38)

abc: 5.1521 13.5033 13.5033
angles: 88.98 90.00 90.00
Last column: nearest neighbours and their distance in Å.
Atoms (fractional coordinates):
1 Cs 0.0000 0.0000 0.0000  6 Rb 4.91-5.01, 2 Cs 5.15
2 Cs 0.5000 0.3337 0.8288  4 Rb 5.07-5.52, 4 Cs 5.15-5.65, 4 K 5.52-5.57
3 Cs 0.5000 0.8288 0.3337  4 Rb 5.07-5.52, 4 Cs 5.15-5.65, 4 K 5.52-5.57
4 K 0.0000 0.1724 0.5079  6 Rb 4.57-4.76
5 K 0.0000 0.5079 0.1724  6 Rb 4.57-4.76
6 K 0.0000 0.6628 0.6628  6 Rb 4.57-4.71
7 Rb 0.5000 0.2167 0.2167  4 K 4.73, 3 Rb 4.82-5.15, 2 Cs 4.91
8 Rb 0.5000 0.4667 0.4667  6 K 4.57-4.76, 1 Rb 4.82
9 Rb 0.5000 0.6859 0.9535  4 K 4.57-4.71, 3 Cs 5.01-5.07, 1 Rb 5.06
10 Rb 0.5000 0.9535 0.6859  4 K 4.57-4.71, 3 Cs 5.01-5.07, 1 Rb 5.06